Entry 1:
{
  "formula": "BaCo2BF",
  "functional": "PBE+U",
  "state": "relaxed",
  "de_polymorph_mev_per_atom": 33,
  "lattice": [[3.809, 0.000, 0.000], [0.000, 6.221, 0.000], [0.000, 0.000, 3.809]],
  "species": ["B", "Co", "Co", "Ba", "F"],
  "fractional_positions": [[0.000, 0.000, 0.000], [0.000, 0.000, 0.500], [0.500, 0.000, 0.000], [0.500, 0.500, 0.500], [0.000, 0.500, 0.000]]
}

***

Entry 2:
{
  "formula": "BaCo2BF",
  "functional": "PBE+U",
  "state": "relaxed",
  "de_polymorph_mev_per_atom": 0,
  "lattice": [[-3.677, -1.032, 0.122], [0.409, -2.161, -5.936], [1.010, -3.440, 1.322]],
  "species": ["B", "Co", "Co", "Ba", "F"],
  "fractional_positions": [[0.000, 0.000, 0.000], [0.000, 0.000, 0.500], [0.500, 0.000, 0.000], [0.000, 0.500, 0.000], [0.500, 0.500, 0.500]]
}

***

Entry 3:
{
  "formula": "BaCoBP2HO9",
  "functional": "PBE+U",
  "state": "relaxed",
  "e_tot_ev_per_atom": -7.05,
  "lattice": [[5.377, -0.002, -0.003], [0.410, 8.101, 0.009], [1.538, 0.152, 8.244]],
  "species": ["Ba", "Ba", "Co", "Co", "B", "B", "P", "P", "P", "P", "H", "H", "O", "O", "O", "O", "O", "O", "O", "O", "O", "O", "O", "O", "O", "O", "O", "O", "O", "O"],
  "fractional_positions": [[0.276, 0.689, 0.886], [0.724, 0.311, 0.114], [0.271, 0.200, 0.805], [0.729, 0.800, 0.195], [0.885, 0.744, 0.547], [0.115, 0.256, 0.453], [0.775, 0.939, 0.817], [0.225, 0.061, 0.183], [0.202, 0.568, 0.303], [0.798, 0.432, 0.697], [0.742, 0.948, 0.447], [0.258, 0.052, 0.553], [0.450, 0.622, 0.198], [0.550, 0.378, 0.802], [0.043, 0.137, 0.340], [0.957, 0.863, 0.660], [0.759, 0.793, 0.944], [0.241, 0.207, 0.056], [0.271, 0.171, 0.559], [0.729, 0.829, 0.441], [0.013, 0.429, 0.796], [0.987, 0.571, 0.204], [0.129, 0.673, 0.459], [0.871, 0.327, 0.541], [0.508, 0.981, 0.783], [0.492, 0.019, 0.217], [0.271, 0.387, 0.361], [0.729, 0.613, 0.639], [0.087, 0.914, 0.138], [0.913, 0.086, 0.862]]
}

***

Number 1: total moment 0.427 μB/atom. Number 2: total moment 0.455 μB/atom. Number 3: total moment 0.200 μB/atom.